# Ac2AgIrAu (GGA-PBE, relaxed)
data_Ac2AgIrAu
_chemical_formula_sum 'Ac4 Ag2 Ir2 Au2'
_cell_length_a 4.394
_cell_length_b 4.394
_cell_length_c 14.347
_cell_angle_alpha 90.00
_cell_angle_beta 90.00
_cell_angle_gamma 90.00
_space_group_name_H-M_alt 'P 4/n m m'
_space_group_IT_number 129
loop_
_space_group_symop_operation_xyz
'x,y,z'
'-x,-y,-z'
'-y+1/2,x,z'
'y+1/2,-x,-z'
'-x+1/2,-y+1/2,z'
'x+1/2,y+1/2,-z'
'y,-x+1/2,z'
'-y,x+1/2,-z'
'x+1/2,-y,-z'
'-x+1/2,y,z'
'-y,-x,-z'
'y,x,z'
'-x,y+1/2,-z'
'x,-y+1/2,z'
'y+1/2,x+1/2,-z'
'-y+1/2,-x+1/2,z'
loop_
_atom_site_label
_atom_site_fract_x
_atom_site_fract_y
_atom_site_fract_z
Ac1 0.250 0.250 0.104
Ac2 0.250 0.250 0.693
Ag1 0.250 0.750 0.500
Ir1 0.250 0.250 0.889
Au1 0.250 0.250 0.362
# density of states at the Fermi level = 2.9 states/eV/f.u.
# formation energy = -0.572 eV/atom

***

# Ac4Ag2IrAu (GGA-PBE, relaxed)
data_Ac4Ag2IrAu
_chemical_formula_sum 'Ac4 Ag2 Ir1 Au1'
_cell_length_a 7.838
_cell_length_b 4.466
_cell_length_c 8.001
_cell_angle_alpha 90.00
_cell_angle_beta 108.42
_cell_angle_gamma 90.00
_space_group_name_H-M_alt 'P 1 2/m 1'
_space_group_IT_number 10
loop_
_space_group_symop_operation_xyz
'x,y,z'
'-x,-y,-z'
'-x,y,-z'
'x,-y,z'
loop_
_atom_site_label
_atom_site_fract_x
_atom_site_fract_y
_atom_site_fract_z
Ac1 0.226 0.000 0.221
Ac2 0.240 0.500 0.771
Ag1 0.000 0.000 0.500
Ag2 0.500 0.500 0.500
Ir1 0.000 0.500 0.000
Au1 0.500 0.000 0.000
# density of states at the Fermi level = 3.9 states/eV/f.u.
# formation energy = -0.493 eV/atom

***

# Li3Ac2AgAu4 (GGA-PBE, relaxed)
data_Li3Ac2AgAu4
_chemical_formula_sum 'Li3 Ac2 Ag1 Au4'
_cell_length_a 4.452
_cell_length_b 4.452
_cell_length_c 11.218
_cell_angle_alpha 90.00
_cell_angle_beta 90.00
_cell_angle_gamma 90.00
_space_group_name_H-M_alt 'P -4 m 2'
_space_group_IT_number 115
loop_
_space_group_symop_operation_xyz
'x,y,z'
'y,-x,-z'
'-x,-y,z'
'-y,x,-z'
'-x,y,z'
'-y,-x,-z'
'x,-y,z'
'y,x,-z'
loop_
_atom_site_label
_atom_site_fract_x
_atom_site_fract_y
_atom_site_fract_z
Li1 0.000 0.000 0.000
Li2 0.000 0.500 0.612
Ac1 0.000 0.500 0.258
Ag1 0.500 0.500 0.000
Au1 0.000 0.000 0.500
Au2 0.000 0.500 0.841
Au3 0.500 0.500 0.500
# density of states at the Fermi level = 3.7 states/eV/f.u.
# formation energy = -0.578 eV/atom

***

# LiAc2AgAu6 (GGA-PBE, relaxed)
data_LiAc2AgAu6
_chemical_formula_sum 'Li2 Ac4 Ag2 Au12'
_cell_length_a 13.082
_cell_length_b 5.495
_cell_length_c 9.180
_cell_angle_alpha 90.00
_cell_angle_beta 133.02
_cell_angle_gamma 90.00
_space_group_name_H-M_alt 'C 1 2/m 1'
_space_group_IT_number 12
loop_
_space_group_symop_operation_xyz
'x,y,z'
'-x,-y,-z'
'-x,y,-z'
'x,-y,z'
'x+1/2,y+1/2,z'
'-x+1/2,-y+1/2,-z'
'-x+1/2,y+1/2,-z'
'x+1/2,-y+1/2,z'
loop_
_atom_site_label
_atom_site_fract_x
_atom_site_fract_y
_atom_site_fract_z
Li1 0.000 0.000 0.000
Ac1 0.241 0.000 0.704
Ag1 0.000 0.500 0.500
Au1 0.013 0.249 0.248
Au2 0.249 0.000 0.090
# density of states at the Fermi level = 4.2 states/eV/f.u.
# formation energy = -0.505 eV/atom

***

# AcLuAgAu (GGA-PBE, relaxed)
data_AcLuAgAu
_chemical_formula_sum 'Ac4 Lu4 Ag4 Au4'
_cell_length_a 7.527
_cell_length_b 7.527
_cell_length_c 7.527
_cell_angle_alpha 90.00
_cell_angle_beta 90.00
_cell_angle_gamma 90.00
_space_group_name_H-M_alt 'F -4 3 m'
_space_group_IT_number 216
_space_group_name_Hall 'F -4 2 3'
loop_
_atom_site_label
_atom_site_fract_x
_atom_site_fract_y
_atom_site_fract_z
Ac1 0.000 0.000 0.000
Lu1 0.000 0.000 0.500
Ag1 0.250 0.250 0.250
Au1 0.250 0.250 0.750
# density of states at the Fermi level = 3.6 states/eV/f.u.
# formation energy = -0.479 eV/atom

***

# AcMgAgAu (GGA-PBE, relaxed)
data_AcMgAgAu
_chemical_formula_sum 'Ac2 Mg2 Ag2 Au2'
_cell_length_a 8.321
_cell_length_b 4.813
_cell_length_c 5.843
_cell_angle_alpha 90.00
_cell_angle_beta 118.39
_cell_angle_gamma 90.00
_space_group_name_H-M_alt 'C 1 m 1'
_space_group_IT_number 8
loop_
_space_group_symop_operation_xyz
'x,y,z'
'x,-y,z'
'x+1/2,y+1/2,z'
'x+1/2,-y+1/2,z'
loop_
_atom_site_label
_atom_site_fract_x
_atom_site_fract_y
_atom_site_fract_z
Ac1 0.000 0.000 0.000
Mg1 0.005 0.500 0.515
Ag1 0.289 0.500 0.367
Au1 0.211 0.000 0.633
# density of states at the Fermi level = 1.6 states/eV/f.u.
# excess energy over the best structure of this formula in the dataset = 0.00 kcal/mol of atoms
# formation energy = -0.523 eV/atom

***

# AcMgAgAu (GGA-PBE, relaxed)
data_AcMgAgAu
_chemical_formula_sum 'Ac4 Mg4 Ag4 Au4'
_cell_length_a 7.405
_cell_length_b 7.405
_cell_length_c 7.405
_cell_angle_alpha 90.00
_cell_angle_beta 90.00
_cell_angle_gamma 90.00
_space_group_name_H-M_alt 'F -4 3 m'
_space_group_IT_number 216
_space_group_name_Hall 'F -4 2 3'
loop_
_atom_site_label
_atom_site_fract_x
_atom_site_fract_y
_atom_site_fract_z
Ac1 0.000 0.000 0.000
Mg1 0.000 0.000 0.500
Ag1 0.250 0.250 0.750
Au1 0.250 0.250 0.250
# density of states at the Fermi level = 3.3 states/eV/f.u.
# excess energy over the best structure of this formula in the dataset = 1.70 kcal/mol of atoms
# formation energy = -0.450 eV/atom

***

# AcMg2AgAu4 (GGA-PBE, relaxed)
data_AcMg2AgAu4
_chemical_formula_sum 'Ac3 Mg6 Ag3 Au12'
_cell_length_a 4.6656
_cell_length_b 4.6656
_cell_length_c 28.1037
_cell_angle_alpha 90.00
_cell_angle_beta 90.00
_cell_angle_gamma 120.00
_space_group_name_H-M_alt 'R -3 m'
_space_group_IT_number 166
_space_group_name_Hall '-R 3 2"'
loop_
_atom_site_label
_atom_site_fract_x
_atom_site_fract_y
_atom_site_fract_z
Ac1 0.0000 0.0000 0.0000
Mg1 0.0000 0.0000 0.2273
Ag1 0.0000 0.0000 0.5000
Au1 0.0000 0.0000 0.1216
Au2 0.0000 0.0000 0.3992
# density of states at the Fermi level = 3.3 states/eV/f.u.
# formation energy = -0.552 eV/atom

***

- The highest density of states at the Fermi level belongs to which entry?
  LiAc2AgAu6